Record 1
A relaxed MgSc4Cu crystal. Source: the Alexandria database, functional PBE.

abc: 3.2818 3.2818 12.2329
angles: 90.00 90.00 90.00
Fractional positions:
Mg1 0.0000 0.0000 0.0000
Sc1 0.0000 0.0000 0.3675
Sc2 0.0000 0.0000 0.6325
Sc3 0.5000 0.5000 0.1819
Sc4 0.5000 0.5000 0.8181
Cu1 0.5000 0.5000 0.5000

Its raw total energy is -5.251 eV per atom. The relative energy among the computed polymorphs is 0.00 eV/f.u. For the total magnetization, the calculation gives 0.34 μB per atom. Its formation energy is -0.08 eV per atom.

***

Record 2
A relaxed MgSc2Cu6 crystal. Source: the Alexandria database, functional PBE.

abc: 5.3532 5.3532 5.6174
angles: 90.00 90.00 120.00
Fractional positions:
Mg1 0.0000 0.0000 0.0000
Sc1 0.3333 0.6667 0.8481
Sc2 0.6667 0.3333 0.1519
Cu1 0.1807 0.3614 0.3402
Cu2 0.1807 0.8193 0.3402
Cu3 0.3614 0.1807 0.6598
Cu4 0.6386 0.8193 0.3402
Cu5 0.8193 0.1807 0.6598
Cu6 0.8193 0.6386 0.6598

Its raw total energy is -4.417 eV per atom. For the total magnetization, the calculation gives 0.00 μB per atom. Its formation energy is -0.10 eV per atom.